{
  "formula": "HoMnIrO6",
  "functional": "GGA+U",
  "state": "optimized geometry",
  "e_tot_ev_per_cell": -129.7,
  "sg": "No. 163",
  "dos_at_fermi_per_ev_fu": 3.88,
  "lattice_angstrom": [[-0.814, 2.934, 4.462], [-3.442, -3.957, -1.296], [4.821, -5.712, 4.637]],
  "species": ["Ho", "Ho", "Mn", "Mn", "Ir", "Ir", "O", "O", "O", "O", "O", "O", "O", "O", "O", "O", "O", "O"],
  "fractional_positions": [[0.333, 0.667, 0.250], [0.667, 0.333, 0.750], [0.000, 0.000, 0.000], [0.000, 0.000, 0.500], [0.667, 0.333, 0.250], [0.333, 0.667, 0.750], [0.677, 0.635, 0.126], [0.959, 0.323, 0.126], [0.323, 0.959, 0.626], [0.041, 0.677, 0.874], [0.365, 0.323, 0.374], [0.959, 0.635, 0.374], [0.635, 0.959, 0.874], [0.677, 0.041, 0.374], [0.041, 0.365, 0.626], [0.365, 0.041, 0.126], [0.635, 0.677, 0.626], [0.323, 0.365, 0.874]]
}